# 1
MnNiCl2 after structural relaxation. Source: Alexandria, functional GGA-PBE.

Summary:
ΔE_f (raw) in kJ/mol of atoms: -36.0
Offset from the most stable computed form in meV per atom: 17
DFT total energy in eV per atom: -5.034
Fermi-level density of states in states/eV/cell: 0.74

Unit cell a=3.563 b=3.539 c=6.711 alpha=84.57 beta=90.00 gamma=90.00
Fractional positions:
Mn  0.000  0.484  0.575
Cl  0.000  0.805  0.885
Ni  0.500  0.975  0.677
Cl  0.500  0.236  0.363

# 2
KNa2WBr8 after structural relaxation. Source: Alexandria, functional GGA-PBE.

Summary:
ΔE_f (raw) in kJ/mol of atoms: -92.8
DFT total energy in eV per atom: -3.468
Fermi-level density of states in states/eV/cell: 6.55

Unit cell a=6.476 b=8.437 c=9.247 alpha=90.03 beta=89.95 gamma=123.45
Fractional positions:
Br  0.062  0.817  0.809
Br  0.060  0.816  0.190
K  0.000  0.000  0.500
Br  0.938  0.183  0.191
Na  0.499  0.500  0.286
W  0.000  0.000  0.000
Br  0.542  0.751  0.000
Br  0.581  0.300  0.499
Br  0.458  0.249  0.000
Br  0.940  0.184  0.810
Br  0.419  0.700  0.501
Na  0.501  0.500  0.714

# 3
BeC after structural relaxation. Source: Alexandria, functional GGA-PBE.

Summary:
Offset from the most stable computed form in meV per atom: 30
DFT total energy in eV per atom: -6.126
Formation energy in eV/atom: 0.35
Fermi-level density of states in states/eV/cell: 0.56

Unit cell a=3.558 b=2.581 c=6.069 alpha=90.00 beta=105.64 gamma=90.00
Fractional positions:
Be  0.686  0.500  0.889
Be  0.314  0.500  0.111
C  0.134  0.000  0.295
C  0.134  0.500  0.795
C  0.866  0.000  0.705
C  0.866  0.500  0.205
Be  0.686  0.000  0.389
Be  0.314  0.000  0.611

# 4
Ce2PrN4 after structural relaxation. Source: Alexandria, functional GGA-PBE.

Summary:
ΔE_f (raw) in kJ/mol of atoms: -109.3
DFT total energy in eV per atom: -8.268
Fermi-level density of states in states/eV/cell: 4.80

Unit cell a=3.569 b=6.190 c=10.611 alpha=90.00 beta=90.00 gamma=106.76
Fractional positions:
Ce  0.133  0.266  0.068
N  0.776  0.552  0.115
Ce  0.867  0.734  0.568
Ce  0.133  0.266  0.432
N  0.224  0.448  0.885
Pr  0.399  0.798  0.250
N  0.776  0.552  0.385
N  0.500  0.000  0.000
Pr  0.601  0.202  0.750
N  0.224  0.448  0.615
N  0.042  0.085  0.250
N  0.500  0.000  0.500
Ce  0.867  0.734  0.932
N  0.958  0.915  0.750

Calculated volume
In order: 21.06; 35.13; 6.71; 16.03
Unit: Å³/atom
Theoretical density
In order: 3.64; 3.58; 2.60; 7.06
Unit: g/cm³
Size of the total moment
In order: 5.0; 1.0; 0.0; 0.8
Unit: μB per formula unit